# AgSbMoO6 (PBE with a Hubbard U, relaxed)
data_AgSbMoO6
_chemical_formula_sum 'Ag2 Sb2 Mo2 O12'
_cell_length_a 5.3412
_cell_length_b 5.3412
_cell_length_c 10.2747
_cell_angle_alpha 90.00
_cell_angle_beta 90.00
_cell_angle_gamma 120.00
_space_group_name_H-M_alt 'P 1'
_space_group_IT_number 1
_space_group_name_Hall 'P 1'
loop_
_atom_site_label
_atom_site_type_symbol
_atom_site_fract_x
_atom_site_fract_y
_atom_site_fract_z
Ag1 Ag 0.0000 0.0000 0.0000
Ag2 Ag 0.0000 0.0000 0.5000
Sb1 Sb 0.3333 0.6667 0.2500
Sb2 Sb 0.6667 0.3333 0.7500
Mo1 Mo 0.3333 0.6667 0.7500
Mo2 Mo 0.6667 0.3333 0.2500
O1 O 0.0082 0.3873 0.6435
O2 O 0.0082 0.6209 0.8565
O3 O 0.3791 0.3873 0.8565
O4 O 0.3791 0.9918 0.6435
O5 O 0.3873 0.0082 0.1435
O6 O 0.3873 0.3791 0.3565
O7 O 0.6127 0.6209 0.6435
O8 O 0.6127 0.9918 0.8565
O9 O 0.6209 0.0082 0.3565
O10 O 0.6209 0.6127 0.1435
O11 O 0.9918 0.3791 0.1435
O12 O 0.9918 0.6127 0.3565
# Raw total energy   -6.033 eV per atom
# Volume   14.10 Å³ per atom
# Symmetry   P-31c (163)